Computed, not measured: crystalline NiPt2Se at its relaxed geometry at the PBE-GGA level of DFT.

a b c (Å): 3.0777 3.0777 6.4071
angles (deg): 90.00 90.00 89.99
With the nearest neighbours (Å) after each atom.
Fractional coordinates of all 4 atoms:
Ni 0.5000 0.5000 0.7500  8 Pt 2.63
Pt 0.0000 0.0000 0.5196  4 Ni 2.63, 4 Se 2.78
Se 0.5000 0.5000 0.2500  8 Pt 2.78, 4 Se 3.08
Pt 0.0000 0.0000 0.9804  4 Ni 2.63, 4 Se 2.78

Summary:
ρ, g/cm3: 14.441
ΔE_f (raw), meV per atom: 136
Symmetry: P4/mmm, No. 123

=====

Computed, not measured: crystalline LaTmGaRu at its relaxed geometry at the PBE-GGA level of DFT.

a b c (Å): 5.0321 5.0321 5.0321
angles (deg): 60.00 60.00 60.00
With the nearest neighbours (Å) after each atom.
Fractional coordinates of all 4 atoms:
Ru 0.5000 0.5000 0.5000  4 Tm 3.08, 4 La 3.08
Ga 0.0000 0.0000 0.0000  4 La 3.08, 4 Tm 3.08
Tm 0.2500 0.2500 0.2500  4 Ru 3.08, 4 Ga 3.08
La 0.7500 0.7500 0.7500  4 Ru 3.08, 4 Ga 3.08

Summary:
ρ, g/cm3: 8.821
E_form, eV/atom: -0.372
Symmetry: F-43m, No. 216